[1]
DFT (PBE) results for a relaxed structure of AcTb6NdSm2.

Results
* SG: C2/c
* calculated formation energy: 124 kJ/mol of formula units
* size of the total moment: 0.00 Bohr magnetons per cell

Cell: 9.0128 9.0128 9.6980 Å, 93.02 93.02 118.41°
Positions (direct):
Ac 0.0272 0.9728 0.7500
Ac 0.9728 0.0272 0.2500
Tb 0.0244 0.5627 0.6818
Tb 0.1282 0.7454 0.0579
Tb 0.2546 0.8718 0.4421
Tb 0.2901 0.5049 0.8826
Tb 0.4373 0.9756 0.8182
Tb 0.4951 0.7099 0.6174
Tb 0.5049 0.2901 0.3826
Tb 0.5627 0.0244 0.1818
Tb 0.7099 0.4951 0.1174
Tb 0.7454 0.1282 0.5579
Tb 0.8718 0.2546 0.9421
Tb 0.9756 0.4373 0.3182
Nd 0.4092 0.5908 0.2500
Nd 0.5908 0.4092 0.7500
Sm 0.1943 0.3104 0.5464
Sm 0.3104 0.1943 0.0464
Sm 0.6896 0.8057 0.9536
Sm 0.8057 0.6896 0.4536

=====

[2]
DFT (PBE) results for a relaxed structure of ScMnAl3.

Results
* SG: P-1
* calculated formation energy: -125 kJ/mol of formula units
* energy above the most stable polymorph in this dataset: 0.00 eV per formula unit
* size of the total moment: 0.00 Bohr magnetons per cell

Cell: 4.9415 6.1771 6.4808 Å, 61.59 84.33 89.95°
Positions (direct):
Sc 0.0211 0.3357 0.3274
Sc 0.9789 0.6643 0.6726
Mn 0.3099 0.8787 0.2431
Mn 0.6901 0.1213 0.7569
Al 0.1708 0.0923 0.8175
Al 0.4992 0.6989 0.9997
Al 0.5000 0.0000 0.5000
Al 0.5000 0.5000 0.5000
Al 0.5008 0.3011 0.0003
Al 0.8292 0.9077 0.1825

=====

[3]
DFT (PBE) results for a relaxed structure of SrCu3O4.

Results
* SG: Pm-3n
* size of the total moment: 0.00 Bohr magnetons per cell
* raw formation energy: -1112 meV/atom

Cell: 5.7260 5.7260 5.7260 Å, 90.00 90.00 90.00°
Positions (direct):
Sr 0.0000 0.0000 0.0000
Sr 0.5000 0.5000 0.5000
Cu 0.0000 0.2500 0.5000
Cu 0.0000 0.7500 0.5000
Cu 0.2500 0.5000 0.0000
Cu 0.5000 0.0000 0.2500
Cu 0.5000 0.0000 0.7500
Cu 0.7500 0.5000 0.0000
O 0.2500 0.2500 0.2500
O 0.2500 0.2500 0.7500
O 0.2500 0.7500 0.2500
O 0.2500 0.7500 0.7500
O 0.7500 0.2500 0.2500
O 0.7500 0.2500 0.7500
O 0.7500 0.7500 0.2500
O 0.7500 0.7500 0.7500

=====

[4]
DFT (PBE) results for a relaxed structure of Tb2AgTe.

Results
* SG: P4/mmm
* energy above the most stable polymorph in this dataset: 0.48 eV per formula unit
* size of the total moment: 1.02 Bohr magnetons per cell
* raw formation energy: -677 meV/atom

Cell: 3.8427 3.8427 7.0204 Å, 90.00 90.00 90.00°
Positions (direct):
Tb 0.0000 0.0000 0.2448
Tb 0.0000 0.0000 0.7552
Ag 0.5000 0.5000 0.0000
Te 0.5000 0.5000 0.5000

=====

[5]
DFT (PBE) results for a relaxed structure of LiNiI.

Results
* SG: Cm
* energy above the most stable polymorph in this dataset: 0.12 eV per formula unit
* size of the total moment: 0.41 Bohr magnetons per cell
* raw formation energy: -226 meV/atom

Cell: 4.1522 4.1522 8.7250 Å, 106.01 106.01 60.39°
Positions (direct):
Li 0.0000 0.0000 0.0000
Li 0.1638 0.1638 0.4201
Ni 0.5374 0.5374 0.5218
Ni 0.8987 0.8987 0.5838
I 0.4183 0.4183 0.2153
I 0.5972 0.5972 0.8112

=====

[6]
DFT (PBE) results for a relaxed structure of V2RhSe6.

Results
* SG: C2/c
* energy above the most stable polymorph in this dataset: 2.10 eV per formula unit
* size of the total moment: 2.04 Bohr magnetons per cell
* raw formation energy: -323 meV/atom

Cell: 8.2635 8.2635 6.3653 Å, 98.23 98.23 82.39°
Positions (direct):
V 0.1198 0.2771 0.3153
V 0.2771 0.1198 0.8153
V 0.7229 0.8802 0.1847
V 0.8802 0.7229 0.6847
Rh 0.4066 0.5934 0.7500
Rh 0.5934 0.4066 0.2500
Se 0.0262 0.2085 0.6137
Se 0.1208 0.6127 0.8532
Se 0.2085 0.0262 0.1137
Se 0.3087 0.4830 0.3700
Se 0.3873 0.8792 0.6468
Se 0.4830 0.3087 0.8700
Se 0.5170 0.6913 0.1300
Se 0.6127 0.1208 0.3532
Se 0.6913 0.5170 0.6300
Se 0.7915 0.9738 0.8863
Se 0.8792 0.3873 0.1468
Se 0.9738 0.7915 0.3863